{
  "formula": "LaTb3Er5",
  "functional": "GGA-PBE",
  "state": "optimized geometry",
  "m_tot_mub_per_atom": 0.000,
  "polymorph_energy_mev_per_atom": 177,
  "lattice": [[7.564, -5.679, 0.000], [7.564, 5.679, 0.000], [-6.396, 0.000, 7.578]],
  "species": ["La", "La", "Tb", "Tb", "Tb", "Tb", "Tb", "Tb", "Er", "Er", "Er", "Er", "Er", "Er", "Er", "Er", "Er", "Er"],
  "fractional_positions": [[0.248, 0.248, 0.409], [0.752, 0.752, 0.591], [0.000, 0.000, 0.000], [0.019, 0.019, 0.360], [0.492, 0.492, 0.187], [0.500, 0.500, 0.500], [0.508, 0.508, 0.813], [0.981, 0.981, 0.640], [0.106, 0.607, 0.248], [0.226, 0.226, 0.044], [0.260, 0.740, 0.000], [0.278, 0.278, 0.776], [0.393, 0.894, 0.752], [0.607, 0.106, 0.248], [0.722, 0.722, 0.224], [0.740, 0.260, 0.000], [0.774, 0.774, 0.956], [0.894, 0.393, 0.752]]
}